[1]
VASP calculation (PBE-GGA) on a relaxed structure of LiHoErIr.

Crystal system = cubic
Symmetry = No. 216
Energy of formation = -0.604 eV per atom

Cell and atoms, written as extended XYZ:
```
4
Lattice="0.000 3.451 3.451 3.451 0.000 3.451 3.451 3.451 0.000" Properties=species:S:1:pos:R:3 pbc="T T T"
Li 0.000 0.000 0.000
Ho 1.725 1.725 1.725
Er 5.176 5.176 5.176
Ir 3.451 3.451 3.451
```

---

[2]
VASP calculation (PBE-GGA) on a relaxed structure of Ho2ErIrO8.

Crystal system = orthorhombic
E_form (uncorrected) = -2.38 eV per atom
Symmetry = No. 65

Cell and atoms, written as extended XYZ:
```
12
Lattice="3.525 -3.567 0.000 3.525 3.567 0.000 0.000 0.000 6.732" Properties=species:S:1:pos:R:3 pbc="T T T"
Ho 0.000 0.000 1.665
Ho 0.000 0.000 5.067
Er 3.525 0.000 0.000
Ir 3.525 0.000 3.366
O 1.365 0.000 0.000
O 1.620 0.000 3.366
O 3.525 1.310 1.932
O 3.525 1.310 4.800
O 3.525 -1.310 1.932
O 3.525 -1.310 4.800
O 5.429 0.000 3.366
O 5.685 0.000 0.000
```

---

[3]
VASP calculation (PBE-GGA) on a relaxed structure of HoEr2IrO8.

Crystal system = orthorhombic
E_form (uncorrected) = -2.39 eV per atom
Symmetry = No. 65

Cell and atoms, written as extended XYZ:
```
12
Lattice="3.520 -3.557 0.000 3.520 3.557 0.000 0.000 0.000 6.726" Properties=species:S:1:pos:R:3 pbc="T T T"
Ho 0.000 0.000 0.000
Er 3.520 0.000 1.664
Er 3.520 0.000 5.062
Ir 0.000 0.000 3.363
O 3.520 2.243 1.936
O 3.520 2.243 4.790
O 1.909 0.000 3.363
O 2.168 0.000 0.000
O 4.872 0.000 0.000
O 5.131 0.000 3.363
O 3.520 -2.243 1.936
O 3.520 -2.243 4.790
```

---

[4]
VASP calculation (PBE-GGA) on a relaxed structure of HoErIrPd.

Crystal system = cubic
Symmetry = No. 216
Energy of formation = -0.943 eV per atom

Cell and atoms, written as extended XYZ:
```
4
Lattice="0.000 3.439 3.439 3.439 0.000 3.439 3.439 3.439 0.000" Properties=species:S:1:pos:R:3 pbc="T T T"
Ho 0.000 0.000 0.000
Er 3.439 3.439 3.439
Ir 5.159 5.159 5.159
Pd 1.720 1.720 1.720
```

---

[5]
VASP calculation (PBE-GGA) on a relaxed structure of HoErIrRh.

Crystal system = cubic
Symmetry = No. 216
Energy of formation = -0.919 eV per atom

Cell and atoms, written as extended XYZ:
```
4
Lattice="0.000 3.402 3.402 3.402 0.000 3.402 3.402 3.402 0.000" Properties=species:S:1:pos:R:3 pbc="T T T"
Ho 0.000 0.000 0.000
Er 3.402 3.402 3.402
Ir 1.701 1.701 1.701
Rh 5.103 5.103 5.103
```

---

[6]
VASP calculation (PBE-GGA) on a relaxed structure of HoErIrRu.

Crystal system = cubic
Symmetry = No. 216
Energy of formation = -0.661 eV per atom

Cell and atoms, written as extended XYZ:
```
4
Lattice="0.000 3.388 3.388 3.388 0.000 3.388 3.388 3.388 0.000" Properties=species:S:1:pos:R:3 pbc="T T T"
Ho 0.000 0.000 0.000
Er 3.388 3.388 3.388
Ir 5.082 5.082 5.082
Ru 1.694 1.694 1.694
```

---

[7]
VASP calculation (PBE-GGA) on a relaxed structure of Ho2Er2SiIr4.

Crystal system = tetragonal
E_form (uncorrected) = -0.57 eV per atom
Symmetry = No. 139

Cell and atoms, written as extended XYZ:
```
9
Lattice="-3.195 3.195 4.428 3.195 -3.195 4.428 3.195 3.195 -4.428" Properties=species:S:1:pos:R:3 pbc="T T T"
Ho 0.000 0.000 1.688
Ho 0.000 0.000 7.167
Er 3.195 0.000 2.214
Er 0.000 3.195 2.214
Si 0.000 0.000 4.428
Ir 1.566 1.566 0.000
Ir 1.629 -1.629 4.428
Ir -1.629 1.629 4.428
Ir 1.629 1.629 4.428
```

---

[8]
VASP calculation (PBE-GGA) on a relaxed structure of Ho2Er2Si4Ir.

Crystal system = tetragonal
E_form (uncorrected) = -0.38 eV per atom
Symmetry = No. 139

Cell and atoms, written as extended XYZ:
```
9
Lattice="-3.404 3.404 4.240 3.404 -3.404 4.240 3.404 3.404 -4.240" Properties=species:S:1:pos:R:3 pbc="T T T"
Ho 3.404 0.000 2.120
Ho 0.000 3.404 2.120
Er 0.000 0.000 1.595
Er 0.000 0.000 6.885
Si 1.709 1.709 0.000
Si 1.694 -1.694 4.240
Si -1.694 1.694 4.240
Si 1.694 1.694 4.240
Ir 0.000 0.000 4.240
```

---

[9]
VASP calculation (PBE-GGA) on a relaxed structure of HoErTlIr.

Crystal system = cubic
Symmetry = No. 216
Energy of formation = -0.506 eV per atom

Cell and atoms, written as extended XYZ:
```
4
Lattice="0.000 3.581 3.581 3.581 0.000 3.581 3.581 3.581 0.000" Properties=species:S:1:pos:R:3 pbc="T T T"
Ho 0.000 0.000 0.000
Er 3.581 3.581 3.581
Tl 5.372 5.372 5.372
Ir 1.791 1.791 1.791
```

---

[10]
VASP calculation (PBE-GGA) on a relaxed structure of HoErTlIr.

Crystal system = tetragonal
Symmetry = No. 99
Energy of formation = -0.632 eV per atom

Cell and atoms, written as extended XYZ:
```
4
Lattice="3.440 0.000 0.000 0.000 3.440 0.000 0.000 0.000 8.034" Properties=species:S:1:pos:R:3 pbc="T T T"
Ho 0.000 0.000 0.000
Er 0.000 0.000 4.743
Tl 1.720 1.720 2.380
Ir 1.720 1.720 6.376
```

---

[11]
VASP calculation (PBE-GGA) on a relaxed structure of KHoEr2.

Crystal system = trigonal
Symmetry = No. 166
Energy of formation = 0.255 eV per atom

Cell and atoms, written as extended XYZ:
```
4
Lattice="1.772 1.023 13.155 -1.772 1.023 13.155 0.000 -2.046 13.155" Properties=species:S:1:pos:R:3 pbc="T T T"
K 0.000 0.000 0.000
Ho 0.000 0.000 19.732
Er 0.000 0.000 3.790
Er 0.000 0.000 35.675
```

---

[12]
VASP calculation (PBE-GGA) on a relaxed structure of KHo2Er.

Crystal system = trigonal
Symmetry = No. 166
Energy of formation = 0.246 eV per atom

Cell and atoms, written as extended XYZ:
```
4
Lattice="1.776 1.025 13.169 -1.776 1.025 13.169 0.000 -2.050 13.169" Properties=species:S:1:pos:R:3 pbc="T T T"
K 0.000 0.000 0.000
Ho 0.000 0.000 3.804
Ho 0.000 0.000 35.704
Er 0.000 0.000 19.754
```

---

[13]
VASP calculation (PBE-GGA) on a relaxed structure of K3Ho2ErO6.

Crystal system = monoclinic
E_form (uncorrected) = -2.79 eV per atom
Symmetry = No. 12

Cell and atoms, written as extended XYZ:
```
12
Lattice="2.994 -5.186 0.000 2.994 5.186 0.000 -1.997 0.000 6.253" Properties=species:S:1:pos:R:3 pbc="T T T"
K 0.000 0.000 0.000
K 2.994 1.728 0.000
K 2.994 -1.728 0.000
Ho 1.996 3.457 3.127
Ho 1.996 -3.457 3.127
Er 1.996 0.000 3.127
O 1.002 1.722 1.974
O 0.007 0.000 4.279
O 1.002 -1.722 1.974
O 2.990 1.722 4.279
O 3.985 0.000 1.974
O 2.990 -1.722 4.279
```

---

[14]
VASP calculation (PBE-GGA) on a relaxed structure of KHo4ErS8.

Crystal system = trigonal
E_form (uncorrected) = -1.93 eV per atom
Symmetry = No. 160

Cell and atoms, written as extended XYZ:
```
14
Lattice="4.090 2.361 6.665 -4.090 2.361 6.665 0.000 -4.723 6.665" Properties=species:S:1:pos:R:3 pbc="T T T"
K 0.000 0.000 0.000
Ho 0.000 -2.449 10.868
Ho -2.121 1.224 10.868
Ho 0.000 0.000 15.004
Ho 2.121 1.224 10.868
Er 0.000 0.000 7.412
S 0.000 0.000 2.837
S 0.000 -2.043 5.735
S -1.769 1.022 5.735
S -1.920 -1.108 9.215
S 1.769 1.022 5.735
S 1.920 -1.108 9.215
S 0.000 2.217 9.215
S 0.000 0.000 12.354
```

---

[15]
VASP calculation (PBE-GGA) on a relaxed structure of K2HoErS4.

Crystal system = monoclinic
E_form (uncorrected) = -1.89 eV per atom
Symmetry = No. 10

Cell and atoms, written as extended XYZ:
```
8
Lattice="6.973 0.000 0.000 0.000 4.026 0.000 -2.322 0.000 7.362" Properties=species:S:1:pos:R:3 pbc="T T T"
K 0.000 0.000 0.000
K 3.487 2.013 0.000
Ho -1.161 2.013 3.681
Er 2.325 0.000 3.681
S 0.007 0.000 5.158
S 1.170 2.013 2.207
S 3.481 2.013 5.155
S 4.644 0.000 2.204
```

---

[16]
VASP calculation (PBE-GGA) on a relaxed structure of K3Ho2ErS6.

Crystal system = monoclinic
E_form (uncorrected) = -1.89 eV per atom
Symmetry = No. 12

Cell and atoms, written as extended XYZ:
```
12
Lattice="3.488 -6.042 0.000 3.488 6.042 0.000 -2.326 0.000 7.364" Properties=species:S:1:pos:R:3 pbc="T T T"
K 0.000 0.000 0.000
K 3.488 2.018 0.000
K 3.488 -2.018 0.000
Ho 2.325 4.029 3.682
Ho 2.325 -4.029 3.682
Er 2.325 0.000 3.682
S 1.166 2.008 2.205
S 0.007 0.000 5.160
S 1.166 -2.008 2.205
S 3.485 2.008 5.159
S 4.644 0.000 2.204
S 3.485 -2.008 5.159
```

---

[17]
VASP calculation (PBE-GGA) on a relaxed structure of KHoEr4S8.

Crystal system = trigonal
E_form (uncorrected) = -1.93 eV per atom
Symmetry = No. 160

Cell and atoms, written as extended XYZ:
```
14
Lattice="4.074 2.352 6.671 -4.074 2.352 6.671 0.000 -4.704 6.671" Properties=species:S:1:pos:R:3 pbc="T T T"
K 0.000 0.000 0.000
Ho 0.000 0.000 7.398
Er 0.000 -2.439 10.860
Er -2.112 1.220 10.860
Er 0.000 0.000 14.997
Er 2.112 1.220 10.860
S 0.000 -2.043 5.706
S -1.769 1.021 5.706
S 0.000 0.000 2.829
S -1.919 -1.108 9.215
S 1.769 1.021 5.706
S 1.919 -1.108 9.215
S 0.000 2.216 9.215
S 0.000 0.000 12.348
```

---

[18]
VASP calculation (PBE-GGA) on a relaxed structure of KHoEr4Se8.

Crystal system = trigonal
E_form (uncorrected) = -1.74 eV per atom
Symmetry = No. 160

Cell and atoms, written as extended XYZ:
```
14
Lattice="4.259 2.459 6.972 -4.259 2.459 6.972 0.000 -4.917 6.972" Properties=species:S:1:pos:R:3 pbc="T T T"
K 0.000 0.000 0.000
Ho 0.000 0.000 7.727
Er 0.000 -2.556 11.352
Er -2.213 1.278 11.352
Er 0.000 0.000 15.672
Er 2.213 1.278 11.352
Se 0.000 -2.157 5.973
Se -1.868 1.079 5.973
Se 0.000 0.000 2.932
Se -2.004 -1.157 9.632
Se 1.868 1.079 5.973
Se 2.004 -1.157 9.632
Se 0.000 2.314 9.632
Se 0.000 0.000 12.901
```

---

[19]
VASP calculation (PBE-GGA) on a relaxed structure of K3HoEr3Se8.

Crystal system = monoclinic
E_form (uncorrected) = -1.68 eV per atom
Symmetry = No. 12

Cell and atoms, written as extended XYZ:
```
15
Lattice="7.137 -4.117 0.000 7.137 4.117 0.000 -4.760 0.000 7.856" Properties=species:S:1:pos:R:3 pbc="T T T"
K 0.000 0.000 0.000
K 3.568 2.058 0.000
K 3.568 -2.058 0.000
Ho -2.380 0.000 3.928
Er 1.188 2.058 3.928
Er 1.188 -2.058 3.928
Er 4.757 0.000 3.928
Se 0.012 0.000 5.511
Se 3.561 2.047 5.512
Se 2.378 0.000 2.329
Se 5.953 2.047 2.345
Se 3.561 -2.047 5.512
Se 7.136 0.000 5.528
Se 5.953 -2.047 2.345
Se 9.501 0.000 2.345
```

---

[20]
VASP calculation (PBE-GGA) on a relaxed structure of K3Ho2ErSe6.

Crystal system = monoclinic
E_form (uncorrected) = -1.76 eV per atom
Symmetry = No. 12

Cell and atoms, written as extended XYZ:
```
12
Lattice="3.629 -6.286 0.000 3.629 6.286 0.000 -2.420 0.000 7.678" Properties=species:S:1:pos:R:3 pbc="T T T"
K 0.000 0.000 0.000
K 3.629 2.100 0.000
K 3.629 -2.100 0.000
Ho 2.419 4.191 3.839
Ho 2.419 -4.191 3.839
Er 2.419 0.000 3.839
Se 1.213 2.089 2.273
Se 0.007 0.000 5.407
Se 1.213 -2.089 2.273
Se 3.625 2.089 5.406
Se 4.831 0.000 2.272
Se 3.625 -2.089 5.406
```

---

Number 1: mass density 10.74 Mg/m³. Number 2: mass density 8.02 Mg/m³. Number 3: mass density 8.08 Mg/m³. Number 4: mass density 12.87 Mg/m³. Number 5: mass density 13.23 Mg/m³. Number 6: mass density 13.35 Mg/m³. Number 7: mass density 13.42 Mg/m³. Number 8: mass density 8.19 Mg/m³. Number 9: mass density 13.18 Mg/m³. Number 10: mass density 12.73 Mg/m³. Number 11: mass density 6.25 Mg/m³. Number 12: mass density 6.19 Mg/m³. Number 13: mass density 6.07 Mg/m³. Number 14: mass density 4.83 Mg/m³. Number 15: mass density 4.33 Mg/m³. Number 16: mass density 4.32 Mg/m³. Number 17: mass density 4.89 Mg/m³. Number 18: mass density 5.70 Mg/m³. Number 19: mass density 5.09 Mg/m³. Number 20: mass density 5.16 Mg/m³.